# 1
La2ZrIr | PBE-GGA | optimized geometry

```
12
Lattice="3.8376 0.0000 0.0000 -1.9188 3.3235 0.0000 0.0000 0.0000 27.3273" Properties=species:S:1:pos:R:3 pbc="T T T"
La 0.0000 0.0000 6.3531
La 0.0000 0.0000 20.9742
La 0.0000 2.2156 11.8651
La 0.0000 2.2156 24.5713
La 1.9188 1.1078 2.7560
La 1.9188 1.1078 15.4622
Zr 0.0000 0.0000 0.0000
Zr 0.0000 2.2156 18.2182
Zr 1.9188 1.1078 9.1091
Ir 0.0000 0.0000 13.6636
Ir 0.0000 2.2156 4.5546
Ir 1.9188 1.1078 22.7727
```

DOS(E_F): 1.29 states/eV/atom
ΔH_f (0 K): -0.05 eV per atom
ΔE to the lowest computed polymorph: 261 meV per atom

***

# 2
LaZr2Ir | PBE-GGA | optimized geometry

```
4
Lattice="3.3029 0.0000 0.0000 0.0000 4.3631 0.0000 -0.8994 0.0000 6.6075" Properties=species:S:1:pos:R:3 pbc="T T T"
La 0.0000 0.0000 0.0000
Zr -0.0834 0.0000 3.6874
Zr 1.6852 2.1815 2.2309
Ir 1.0683 2.1815 4.8233
```

DOS(E_F): 1.15 states/eV/atom
ΔH_f (0 K): -0.17 eV per atom

***

Question: Which of these has the lowest DOS(E_F)?
Answer: LaZr2Ir

***

Question: Number 2 is which compound?
Answer: LaZr2Ir

***

Question: The highest ΔH_f (0 K) belongs to which entry?
Answer: La2ZrIr